The following is a PBE calculation of crystalline CaSmGa2 at its relaxed geometry, from the Alexandria database.

Structure (extended XYZ):
```
4
Lattice="-1.0901 2.9470 -1.8449 -3.4350 -0.6137 1.0493 1.0914 4.1657 6.0092" Properties=species:S:1:pos:R:3 pbc="T T T"
Ga 0.8195 3.1280 4.5124
Ga 0.2719 1.0376 1.4968
Ca -1.7169 3.2495 2.6068
Sm -2.2626 1.1667 -0.3978
```

Computed properties:
volume	98	Å³/cell
space-group type	P4/mmm, No. 123
total energy	-3.6998	eV/atom
DFT formation energy	-0.506	eV per atom